No. 1
Compound: RbAl2Bi2
Source: the Alexandria database
Functional: PBE
Structure: relaxed

It has space group I4/mmm (No. 139), with a = 5.352 Å, b = 5.352 Å, c = 10.843 Å, α = 90.00°, β = 90.00° and γ = 90.00°. Symmetry generates all atoms from Rb at (0.000, 0.000, 0.000), Al at (0.000, 0.000, 0.377) and Bi at (0.000, 0.500, 0.250).

For the polymorph energy (0 for the lowest one), the calculation gives 55 meV per atom. As for the energy of formation: -58 meV/atom.



No. 2
Compound: MnAl2SnPb
Source: the Alexandria database
Functional: PBE
Structure: relaxed

It has space group P4/mmm (No. 123), with a = 4.760 Å, b = 4.760 Å, c = 4.997 Å, α = 90.00°, β = 90.00° and γ = 90.00°. Symmetry generates all atoms from Mn at (0.000, 0.000, 0.000), Al at (0.000, 0.500, 0.000), Sn at (0.000, 0.000, 0.500) and Pb at (0.500, 0.500, 0.500).

As for the energy of formation: 262 meV/atom.



No. 3
Compound: Pm7Pr2Sc
Source: the Alexandria database
Functional: PBE
Structure: relaxed

It has space group Cmmm (No. 65), with a = 6.721 Å, b = 29.212 Å, c = 3.468 Å, α = 90.00°, β = 90.00° and γ = 90.00°. Symmetry generates all atoms from Pm at (0.000, 0.000, 0.000), Pm at (0.000, 0.313, 0.500), Pm at (0.240, 0.404, 0.000), Pr at (0.000, 0.204, 0.000) and Sc at (0.000, 0.500, 0.500).

As for the energy of formation: 166 meV/atom.